Computed, not measured: a relaxed AcPmTe2Cl crystal at the PBE level of DFT.

Properties
theoretical density = 6.43 g/cm³
DFT total energy = -49.525 eV/cell
symmetry = P4/nmm
formation energy (no corrections) = -750 kJ/mol of formula units

POSCAR file:
```
AcPmTe2Cl
1.0
-4.179 -0.641 1.424
-1.285 -0.899 -4.176
3.417 -16.661 2.533
Ac Pm Te Cl
2 2 4 2
Direct
0.500 0.000 0.127
0.000 0.500 0.873
0.500 0.000 0.614
0.000 0.500 0.386
0.000 0.500 0.681
0.000 0.500 0.079
0.500 0.000 0.921
0.500 0.000 0.319
0.000 0.000 0.500
0.500 0.500 0.500
```

=====

Computed, not measured: a relaxed Nd3Ho3Au4 crystal at the PBE level of DFT.

Properties
theoretical density = 10.71 g/cm³
E_form = -664 meV/atom
DFT total energy = -47.782 eV/cell
symmetry = Amm2

POSCAR file:
```
Nd3Ho3Au4
1.0
3.885 0.000 0.000
0.000 8.275 0.050
0.000 0.123 8.274
Nd Ho Au
3 3 4
Direct
0.500 0.839 0.161
0.500 0.329 0.339
0.500 0.661 0.671
0.000 0.497 0.004
0.000 0.996 0.503
0.500 0.168 0.832
0.000 0.630 0.370
0.000 0.362 0.638
0.000 0.879 0.863
0.000 0.137 0.121
```

=====

Computed, not measured: a relaxed PaGeIrN crystal at the PBE level of DFT.

Properties
theoretical density = 12.96 g/cm³
DFT total energy = -71.493 eV/cell
symmetry = P4/nmm
formation energy (no corrections) = -429 kJ/mol of formula units

POSCAR file:
```
PaGeIrN
1.0
-1.405 -1.588 3.475
2.979 -2.773 -0.062
4.633 4.884 4.106
Pa Ge Ir N
2 2 2 2
Direct
0.500 0.000 0.641
0.000 0.500 0.359
0.000 0.500 0.823
0.500 0.000 0.177
0.500 0.500 0.000
0.000 0.000 0.000
0.000 0.000 0.500
0.500 0.500 0.500
```

=====

Computed, not measured: a relaxed Tl2AgBiF6 crystal at the PBE level of DFT.

Properties
theoretical density = 6.94 g/cm³
DFT total energy = -41.615 eV/cell
symmetry = C2/m
formation energy (no corrections) = -1826 kJ/mol of formula units

POSCAR file:
```
Tl2AgBiF6
1.0
-1.759 -0.427 -6.402
1.043 -6.456 0.144
-4.048 2.756 4.321
Tl Ag Bi F
2 1 1 6
Direct
0.231 0.249 0.497
0.769 0.751 0.503
0.500 0.000 0.000
0.000 0.500 0.000
0.333 0.736 0.473
0.175 0.197 0.882
0.825 0.315 0.118
0.175 0.685 0.882
0.825 0.803 0.118
0.667 0.264 0.527
```

=====

Computed, not measured: a relaxed Cr2SbRh crystal at the PBE level of DFT.

Properties
theoretical density = 8.48 g/cm³
DFT total energy = -56.477 eV/cell
symmetry = I-42d
formation energy (no corrections) = 239 kJ/mol of formula units

POSCAR file:
```
Cr2SbRh
1.0
-6.151 1.964 -2.802
-3.410 -3.049 5.349
-4.678 1.684 2.608
Sb Rh Cr
2 2 4
Direct
0.000 0.000 0.000
0.750 0.250 0.500
0.500 0.500 0.000
0.250 0.750 0.500
0.603 0.125 0.250
0.147 0.625 0.250
0.375 0.397 0.750
0.875 0.853 0.750
```

=====

Computed, not measured: a relaxed AcGa4Ni2Rh crystal at the PBE level of DFT.

Properties
theoretical density = 8.52 g/cm³
E_form = -510 meV/atom
DFT total energy = -39.212 eV/cell
symmetry = R-3m

POSCAR file:
```
AcGa4Ni2Rh
1.0
-0.124 -4.167 0.112
0.766 -2.014 3.571
-8.932 -1.731 3.375
Ac Ga Ni Rh
1 4 2 1
Direct
0.000 0.000 0.000
0.409 0.409 0.774
0.869 0.869 0.394
0.131 0.131 0.606
0.591 0.591 0.226
0.775 0.775 0.676
0.225 0.225 0.324
0.500 0.500 0.500
```

=====

Computed, not measured: a relaxed PmSeCl6 crystal at the PBE level of DFT.

Properties
theoretical density = 3.06 g/cm³
DFT total energy = -28.235 eV/cell
symmetry = P-1
formation energy (no corrections) = -861 kJ/mol of formula units

POSCAR file:
```
PmSeCl6
1.0
6.637 0.332 -0.169
3.604 6.022 -0.334
3.242 1.848 5.955
Pm Se Cl
1 1 6
Direct
0.500 0.500 0.500
0.000 0.000 0.000
0.098 0.428 0.737
0.768 0.078 0.770
0.602 0.224 0.241
0.232 0.922 0.230
0.902 0.572 0.263
0.398 0.776 0.759
```

=====

Computed, not measured: a relaxed PbAu crystal at the PBE level of DFT.

Properties
theoretical density = 13.36 g/cm³
E_form = 1 meV/atom
DFT total energy = -27.933 eV/cell
symmetry = P2_13

POSCAR file:
```
PbAu
1.0
-4.034 0.518 -4.215
1.696 -5.133 -2.255
-3.893 -2.774 3.385
Pb Au
4 4
Direct
0.420 0.920 0.580
0.080 0.080 0.080
0.580 0.420 0.920
0.920 0.580 0.420
0.078 0.578 0.922
0.422 0.422 0.422
0.922 0.078 0.578
0.578 0.922 0.078
```

=====

Computed, not measured: a relaxed Nb2Cr2Au crystal at the PBE level of DFT.

Properties
theoretical density = 10.19 g/cm³
E_form = 152 meV/atom
DFT total energy = -83.811 eV/cell
symmetry = P4/mbm

POSCAR file:
```
Nb2Cr2Au
1.0
-1.404 5.866 -3.048
-5.475 0.715 3.898
1.905 1.685 2.366
Cr Nb Au
4 4 2
Direct
0.393 0.893 0.000
0.893 0.607 0.000
0.607 0.107 0.000
0.107 0.393 0.000
0.185 0.685 0.500
0.685 0.815 0.500
0.815 0.315 0.500
0.315 0.185 0.500
0.000 0.000 0.000
0.500 0.500 0.000
```

=====

Computed, not measured: a relaxed SiSbTe2 crystal at the PBE level of DFT.

Properties
theoretical density = 6.18 g/cm³
ΔE to the lowest computed polymorph = 297.0 meV per atom
DFT total energy = -14.146 eV/cell
symmetry = Cmmm
formation energy (no corrections) = 162 kJ/mol of formula units

POSCAR file:
```
SiSbTe2
1.0
3.698 -0.014 0.000
-1.597 3.335 0.000
0.000 0.000 8.840
Sb Si Te
1 1 2
Direct
0.500 0.500 0.250
0.500 0.500 0.750
0.000 0.000 0.972
0.000 0.000 0.528
```

=====

Computed, not measured: a relaxed Ag2TeO6 crystal at the PBE level of DFT.

Properties
theoretical density = 6.11 g/cm³
ΔE to the lowest computed polymorph = 128.3 meV per atom
DFT total energy = -39.493 eV/cell
symmetry = Immm
formation energy (no corrections) = -87 kJ/mol of formula units

POSCAR file:
```
Ag2TeO6
1.0
-4.373 0.268 -2.053
-0.151 -5.354 -0.379
0.299 2.305 5.366
Ag Te O
2 1 6
Direct
0.667 0.667 0.335
0.333 0.333 0.665
0.000 0.000 0.000
0.157 0.396 0.314
0.843 0.082 0.686
0.843 0.604 0.686
0.500 0.243 0.000
0.157 0.918 0.314
0.500 0.757 0.000
```

=====

Computed, not measured: a relaxed Tb2Pr2HoMg5 crystal at the PBE level of DFT.

Properties
theoretical density = 5.09 g/cm³
E_form = 28 meV/atom
DFT total energy = -62.188 eV/cell
symmetry = P4/mbm

POSCAR file:
```
Tb2Pr2HoMg5
1.0
-0.725 2.356 4.462
-3.855 -9.019 4.137
9.806 -2.785 3.065
Tb Pr Ho Mg
4 4 2 10
Direct
0.000 0.122 0.622
0.000 0.878 0.378
0.000 0.622 0.878
0.000 0.378 0.122
0.000 0.676 0.176
0.000 0.324 0.824
0.000 0.176 0.324
0.000 0.824 0.676
0.000 0.000 0.000
0.000 0.500 0.500
0.500 0.195 0.073
0.500 0.805 0.927
0.500 0.073 0.805
0.500 0.695 0.427
0.500 0.927 0.195
0.500 0.305 0.573
0.500 0.573 0.695
0.500 0.427 0.305
0.500 0.500 0.000
0.500 0.000 0.500
```

=====

Computed, not measured: a relaxed BiMoSe2I crystal at the PBE level of DFT.

Properties
theoretical density = 5.31 g/cm³
DFT total energy = -18.058 eV/cell
symmetry = P4/mmm
formation energy (no corrections) = 499 kJ/mol of formula units

POSCAR file:
```
BiMoSe2I
1.0
-1.360 -2.806 -4.532
1.328 -5.224 2.836
-5.193 -0.355 1.778
I Mo Bi Se
1 1 1 2
Direct
0.000 0.500 0.000
0.500 0.500 0.500
0.000 0.000 0.000
0.000 0.000 0.500
0.500 0.000 0.000
```

=====

Computed, not measured: a relaxed SiAsBr2F crystal at the PBE level of DFT.

Properties
theoretical density = 3.86 g/cm³
ΔE to the lowest computed polymorph = 29.4 meV per atom
DFT total energy = -14.659 eV/cell
symmetry = P4/mmm
formation energy (no corrections) = 61 kJ/mol of formula units

POSCAR file:
```
SiAsBr2F
1.0
4.910 0.000 0.000
0.000 4.910 0.000
0.000 0.000 5.023
As Si Br F
1 1 2 1
Direct
0.000 0.000 0.500
0.000 0.000 0.000
0.000 0.500 0.000
0.500 0.000 0.000
0.500 0.500 0.500
```

=====

Computed, not measured: a relaxed CdBiH2O4 crystal at the PBE level of DFT.

Properties
theoretical density = 7.40 g/cm³
DFT total energy = -37.916 eV/cell
symmetry = I222

POSCAR file:
```
CdBiH2O4
1.0
4.911 0.000 0.000
2.455 4.212 -0.039
2.455 0.306 4.201
Cd Bi H O
1 1 2 4
Direct
0.000 0.000 0.000
0.500 0.500 0.500
0.239 0.261 0.261
0.761 0.739 0.739
0.436 0.124 0.391
0.951 0.876 0.609
0.049 0.391 0.124
0.564 0.609 0.876
```

=====

Computed, not measured: a relaxed CuMoPb crystal at the PBE level of DFT.

Properties
theoretical density = 11.49 g/cm³
E_form = 721 meV/atom
ΔE to the lowest computed polymorph = 60.7 meV per atom
DFT total energy = -16.472 eV/cell
symmetry = P-6m2

POSCAR file:
```
CuMoPb
1.0
-4.114 0.208 -2.005
3.710 -1.023 -2.485
-0.412 -2.834 0.551
Cu Mo Pb
1 1 1
Direct
0.000 0.000 0.834
0.667 0.333 0.333
0.333 0.667 0.833
```

=====

Computed, not measured: a relaxed Pu3VAg3Se8 crystal at the PBE level of DFT.

Properties
theoretical density = 7.69 g/cm³
DFT total energy = -101.151 eV/cell
symmetry = R-3m
formation energy (no corrections) = -1216 kJ/mol of formula units

POSCAR file:
```
Pu3VAg3Se8
1.0
8.187 0.000 0.000
-4.093 7.088 -0.030
0.000 -4.709 6.485
Pu V Ag Se
3 1 3 8
Direct
0.500 0.000 0.500
0.500 0.500 0.500
0.000 0.500 0.500
0.000 0.000 0.500
0.000 0.000 0.000
0.000 0.500 0.000
0.500 0.500 0.000
0.250 0.500 0.250
0.750 0.500 0.750
0.770 0.540 0.270
0.230 0.460 0.730
0.770 0.000 0.270
0.230 0.000 0.730
0.230 0.000 0.270
0.770 0.000 0.730
```

=====

Computed, not measured: a relaxed ZrFe2GePb crystal at the PBE level of DFT.

Properties
theoretical density = 6.33 g/cm³
E_form = 1365 meV/atom
DFT total energy = -26.973 eV/cell
symmetry = P4/mmm

POSCAR file:
```
ZrFe2GePb
1.0
-0.933 4.666 -0.581
0.296 -0.621 -5.463
-4.695 -0.957 -0.145
Pb Ge Fe Zr
1 1 2 1
Direct
0.000 0.000 0.000
0.500 0.500 0.500
0.000 0.000 0.500
0.500 0.000 0.000
0.000 0.500 0.000
```

=====

Computed, not measured: a relaxed KNaTiF6 crystal at the PBE level of DFT.

Properties
theoretical density = 2.42 g/cm³
DFT total energy = -50.709 eV/cell
symmetry = P312
formation energy (no corrections) = -2814 kJ/mol of formula units

POSCAR file:
```
KNaTiF6
1.0
5.387 0.000 0.000
0.000 5.737 0.000
0.000 -2.868 4.968
K Na Ti F
1 1 1 6
Direct
0.000 0.333 0.667
0.500 0.667 0.333
0.500 0.000 0.000
0.700 0.735 0.721
0.700 0.279 0.015
0.700 0.985 0.265
0.300 0.279 0.265
0.300 0.735 0.015
0.300 0.985 0.721
```

=====

Computed, not measured: a relaxed ZnBiH3 crystal at the PBE level of DFT.

Properties
theoretical density = 5.95 g/cm³
ΔE to the lowest computed polymorph = 16.3 meV per atom
DFT total energy = -12.183 eV/cell
symmetry = Pm-3m

POSCAR file:
```
ZnBiH3
1.0
-2.636 3.341 0.238
-2.226 -1.521 -3.301
-2.503 -2.166 2.686
H Zn Bi
3 1 1
Direct
0.000 0.500 0.000
0.000 0.000 0.500
0.500 0.000 0.000
0.500 0.500 0.500
0.000 0.000 0.000
```